1.
# VSn (PBE, relaxed)
data_VSn
_cell_length_a 3.206
_cell_length_b 3.206
_cell_length_c 15.076
_cell_angle_alpha 90.00
_cell_angle_beta 90.00
_cell_angle_gamma 90.00
_space_group_name_H-M_alt 'I 4/m m m'
_space_group_IT_number 139
_space_group_name_Hall '-I 4 2'
loop_
_atom_site_label
_atom_site_type_symbol
_atom_site_fract_x
_atom_site_fract_y
_atom_site_fract_z
V1 V 0.000 0.000 0.213
Sn1 Sn 0.000 0.000 0.404
# E = -6.5854 eV per atom
# D(E_F) = 5.11 states/eV/cell
# Energy of formation = -0.02 eV per atom


2.
# NaLiZn2Au (PBE, relaxed)
data_NaLiZn2Au
_cell_length_a 4.957
_cell_length_b 4.957
_cell_length_c 4.949
_cell_angle_alpha 90.00
_cell_angle_beta 90.00
_cell_angle_gamma 90.00
_space_group_name_H-M_alt 'P 4/m m m'
_space_group_IT_number 123
_space_group_name_Hall '-P 4 2'
loop_
_atom_site_label
_atom_site_type_symbol
_atom_site_fract_x
_atom_site_fract_y
_atom_site_fract_z
Na1 Na 0.000 0.000 0.000
Li1 Li 0.500 0.500 0.000
Zn1 Zn 0.000 0.500 0.500
Au1 Au 0.500 0.500 0.500
# E = -1.9076 eV per atom
# D(E_F) = 1.93 states/eV/cell
# Energy of formation = -0.10 eV per atom


3.
# Lu2CdAg (PBE, relaxed)
data_Lu2CdAg
_cell_length_a 7.237
_cell_length_b 7.237
_cell_length_c 7.237
_cell_angle_alpha 90.00
_cell_angle_beta 90.00
_cell_angle_gamma 90.00
_space_group_name_H-M_alt 'F m -3 m'
_space_group_IT_number 225
_space_group_name_Hall '-F 4 2 3'
loop_
_atom_site_label
_atom_site_type_symbol
_atom_site_fract_x
_atom_site_fract_y
_atom_site_fract_z
Lu1 Lu 0.250 0.250 0.250
Cd1 Cd 0.000 0.000 0.000
Ag1 Ag 0.000 0.000 0.500
# E = -3.5108 eV per atom
# D(E_F) = 11.12 states/eV/cell
# Energy of formation = -0.31 eV per atom


4.
# Ac8GeIr3I4 (PBE, relaxed)
data_Ac8GeIr3I4
_cell_length_a 15.550
_cell_length_b 8.974
_cell_length_c 9.989
_cell_angle_alpha 90.00
_cell_angle_beta 121.31
_cell_angle_gamma 90.00
_space_group_name_H-M_alt 'C 1 2/m 1'
_space_group_IT_number 12
_space_group_name_Hall '-C 2y'
loop_
_atom_site_label
_atom_site_type_symbol
_atom_site_fract_x
_atom_site_fract_y
_atom_site_fract_z
Ac1 Ac 0.025 0.239 0.315
Ac2 Ac 0.229 0.000 0.687
Ac3 Ac 0.236 0.500 0.685
Ge1 Ge 0.000 0.500 0.500
Ir1 Ir 0.000 0.000 0.500
Ir2 Ir 0.250 0.250 0.500
I1 I 0.000 0.000 0.000
I2 I 0.000 0.500 0.000
I3 I 0.250 0.250 0.000
# E = -5.4043 eV per atom
# D(E_F) = 19.47 states/eV/cell
# Formation energy from raw total energies = -1.013 eV/atom


5.
# Cs2BaSmBr6 (PBE, relaxed)
data_Cs2BaSmBr6
_cell_length_a 12.142
_cell_length_b 12.142
_cell_length_c 12.142
_cell_angle_alpha 90.00
_cell_angle_beta 90.00
_cell_angle_gamma 90.00
_space_group_name_H-M_alt 'F m -3 m'
_space_group_IT_number 225
_space_group_name_Hall '-F 4 2 3'
loop_
_atom_site_label
_atom_site_type_symbol
_atom_site_fract_x
_atom_site_fract_y
_atom_site_fract_z
Cs1 Cs 0.250 0.250 0.250
Ba1 Ba 0.000 0.000 0.000
Sm1 Sm 0.000 0.000 0.500
Br1 Br 0.000 0.000 0.262
# E = -3.6318 eV per atom
# D(E_F) = 20.01 states/eV/cell
# Formation energy from raw total energies = -1.793 eV/atom


6.
# Na2Zn3Au4 (PBE, relaxed)
data_Na2Zn3Au4
_cell_length_a 5.669
_cell_length_b 15.759
_cell_length_c 7.749
_cell_angle_alpha 90.00
_cell_angle_beta 90.00
_cell_angle_gamma 90.00
_space_group_name_H-M_alt 'C m c e'
_space_group_IT_number 64
_space_group_name_Hall '-C 2ac 2'
loop_
_atom_site_label
_atom_site_type_symbol
_atom_site_fract_x
_atom_site_fract_y
_atom_site_fract_z
Na1 Na 0.000 0.099 0.102
Zn1 Zn 0.000 0.000 0.500
Zn2 Zn 0.250 0.241 0.750
Au1 Au 0.000 0.177 0.482
Au2 Au 0.250 0.069 0.750
# E = -2.4680 eV per atom
# D(E_F) = 8.64 states/eV/cell
# Energy of formation = -0.29 eV per atom